Entry from Alexandria via LeMat-Bulk: a relaxed structure of Ac2Cu5Si3 (PBE).

Raw formation energy (kJ/mol of formula units): -240
Distance to the lowest polymorph of the same formula (meV per atom): 137
Calculated total energy (eV per atom): -4.745

Cell lengths 4.4216, 4.4216, 9.5086 Å; angles 90.00, 90.00, 90.00 degrees
Last column: nearest neighbours and their distance in Å.
Fractional coordinates of all 10 atoms:
Cu (0.0000, 0.5000, 0.1240)  1 Si 2.39, 4 Cu 2.51
Ac (0.5000, 0.0000, 0.2461)  11 Cu 3.22-3.52, 7 Si 3.27-3.60
Si (0.0000, 0.5000, 0.3756)  3 Cu 2.39-2.51, 2 Si 2.51
Si (0.5000, 0.0000, 0.6244)  3 Cu 2.39-2.51, 2 Si 2.51
Si (0.0000, 0.0000, 0.5000)  4 Si 2.51
Ac (0.0000, 0.5000, 0.7539)  11 Cu 3.22-3.52, 7 Si 3.27-3.60
Cu (0.0000, 0.0000, 0.0000)  4 Cu 2.51
Cu (0.5000, 0.5000, 0.5000)  4 Si 2.51
Cu (0.5000, 0.5000, 0.0000)  4 Cu 2.51
Cu (0.5000, 0.0000, 0.8760)  1 Si 2.39, 4 Cu 2.51